Below is a relaxed structure of ErTmSc6, with properties calculated at the PBE level.

Computed properties:
- Energy of formation from the pure elements: 0.012 eV per atom
- Mass density: 4.834 Mg/m³
- Size of the total moment: 0.258 μB per atom

Cell and atoms, written as POSCAR:
```
ErTmSc6
1.0
5.270 0.000 0.000
0.000 6.749 -0.218
0.000 -3.184 5.955
Er Tm Sc
1 1 6
Direct
0.500 0.417 0.583
0.000 0.083 0.917
0.000 0.078 0.414
0.000 0.586 0.922
0.000 0.586 0.414
0.500 0.422 0.086
0.500 0.914 0.578
0.500 0.914 0.086
```